# 1
TmZn2GaAu2, optimized geometry, DFT PBE; space group = P-3m1, No. 164; formation enthalpy at 0 K = -2.7 eV per formula unit; crystal system = trigonal; total magnetic moment = 0.000 μB per atom
1.0
4.6111 0.0000 0.0000
-2.3055 3.9933 0.0000
0.0000 0.0000 6.0539
Tm Zn Ga Au
1 2 1 2
direct
0.0000 0.0000 0.0000 Tm
0.3333 0.6667 0.7263 Zn
0.6667 0.3333 0.2737 Zn
0.0000 0.0000 0.5000 Ga
0.3333 0.6667 0.2459 Au
0.6667 0.3333 0.7541 Au

=====

# 2
AcNd4Ru2, optimized geometry, DFT PBE; space group = P2_1/m, No. 11; formation enthalpy at 0 K = -0.7 eV per formula unit; crystal system = monoclinic; total magnetic moment = 0.000 μB per atom
1.0
7.9338 0.0000 0.0000
0.0000 6.7691 0.0000
-3.2101 0.0000 7.6769
Ac Nd Ru
2 8 4
direct
0.0156 0.2500 0.1635 Ac
0.9844 0.7500 0.8365 Ac
0.2496 0.9998 0.5863 Nd
0.2496 0.5002 0.5863 Nd
0.3229 0.7500 0.2576 Nd
0.3807 0.2500 0.0181 Nd
0.6193 0.7500 0.9819 Nd
0.6771 0.2500 0.7424 Nd
0.7504 0.0002 0.4137 Nd
0.7504 0.4998 0.4137 Nd
0.0184 0.2500 0.7308 Ru
0.4082 0.2500 0.3636 Ru
0.5918 0.7500 0.6364 Ru
0.9816 0.7500 0.2692 Ru

=====

# 3
ZnCr2Pb, optimized geometry, DFT PBE; space group = R-3m, No. 166; formation enthalpy at 0 K = 2.7 eV per formula unit; crystal system = trigonal; total magnetic moment = 1.900 μB per atom
1.0
3.1756 0.0000 0.0000
-1.5878 2.7501 0.0000
0.0000 0.0000 26.6291
Zn Cr Pb
3 6 3
direct
0.0000 0.0000 0.0000 Zn
0.3333 0.6667 0.6667 Zn
0.6667 0.3333 0.3333 Zn
0.0000 0.0000 0.2599 Cr
0.0000 0.0000 0.7401 Cr
0.3333 0.6667 0.4067 Cr
0.3333 0.6667 0.9266 Cr
0.6667 0.3333 0.0734 Cr
0.6667 0.3333 0.5933 Cr
0.0000 0.0000 0.5000 Pb
0.3333 0.6667 0.1667 Pb
0.6667 0.3333 0.8333 Pb

=====

# 4
TaNb8S2, optimized geometry, DFT PBE; energy relative to the elements, uncorrected = 188.3 kJ/mol of formula units; space group = C2/m, No. 12; crystal system = monoclinic; total magnetic moment = 0.000 μB per atom
1.0
5.8298 -3.8618 0.0000
5.8298 3.8618 0.0000
-0.0101 0.0000 4.7971
Ta Nb S
1 8 2
direct
0.0000 0.0000 0.0000 Ta
0.1993 0.6125 0.7229 Nb
0.2103 0.2103 0.7658 Nb
0.3875 0.8007 0.2771 Nb
0.3923 0.3923 0.2312 Nb
0.6077 0.6077 0.7688 Nb
0.6125 0.1993 0.7229 Nb
0.7897 0.7897 0.2342 Nb
0.8007 0.3875 0.2771 Nb
0.1786 0.1786 0.2743 S
0.8214 0.8214 0.7257 S

=====

no.,N(E_F) (states/eV per cell)
1,2.91
2,16.18
3,6.83
4,10.93